(1)
## PuMg2TcN4 (PBE)

Data for crystalline PuMg2TcN4 at its relaxed geometry. Values from VASP.

Summary:
* final energy: -8.13 eV/atom

```
&SYSTEM
  ibrav = 0, nat = 16, ntyp = 4
/
ATOMIC_SPECIES
Pu 244.00 Pu.upf
Mg 24.30 Mg.upf
Tc 98.00 Tc.upf
N 14.01 N.upf
ATOMIC_POSITIONS angstrom
Pu 1.612 4.731 8.257
Pu 1.612 -4.731 2.752
Mg 1.612 1.319 5.837
Mg 1.612 1.319 10.677
Mg 1.612 -1.319 0.332
Mg 1.612 -1.319 5.173
Tc 1.612 3.709 2.752
Tc 1.612 -3.709 8.257
N 0.000 0.000 0.000
N 0.000 0.000 5.505
N 1.612 2.559 1.341
N 1.612 2.559 4.164
N 1.612 0.743 8.257
N 1.612 -0.743 2.752
N 1.612 -2.559 6.845
N 1.612 -2.559 9.669
CELL_PARAMETERS angstrom
1.612 -5.708 0.000
1.612 5.708 0.000
0.000 0.000 11.009
```

***

(2)
## Pu2MgTcN5 (PBE)

Data for crystalline Pu2MgTcN5 at its relaxed geometry. Values from VASP.

Summary:
* final energy: -9.75 eV/atom

```
&SYSTEM
  ibrav = 0, nat = 18, ntyp = 4
/
ATOMIC_SPECIES
Pu 244.00 Pu.upf
Mg 24.30 Mg.upf
Tc 98.00 Tc.upf
N 14.01 N.upf
ATOMIC_POSITIONS angstrom
Pu 1.664 5.355 5.167
Pu 1.664 4.508 1.461
Pu 1.664 -4.508 6.628
Pu 1.664 -5.355 0.000
Mg 1.664 0.575 3.077
Mg 1.664 -0.575 8.244
Tc 1.664 3.584 8.981
Tc 1.664 -3.584 3.814
N 1.664 5.540 9.450
N 1.664 3.046 5.348
N 1.664 2.671 2.671
N 1.664 1.553 8.705
N 1.664 0.044 1.113
N 1.664 -0.044 6.280
N 1.664 -1.553 3.538
N 1.664 -2.671 7.838
N 1.664 -3.046 0.181
N 1.664 -5.540 4.284
CELL_PARAMETERS angstrom
1.664 -6.443 0.000
1.664 6.443 0.000
0.000 0.000 10.334
```

***

(3)
## PuMgTcN3 (PBE)

Data for crystalline PuMgTcN3 at its relaxed geometry. Values from VASP.

Summary:
* final energy: -9.23 eV/atom

```
&SYSTEM
  ibrav = 0, nat = 12, ntyp = 4
/
ATOMIC_SPECIES
Pu 244.00 Pu.upf
Mg 24.30 Mg.upf
Tc 98.00 Tc.upf
N 14.01 N.upf
ATOMIC_POSITIONS angstrom
Pu 0.340 0.790 1.655
Pu 2.455 2.369 6.426
Mg -0.204 2.369 4.598
Mg 2.999 0.790 3.482
Tc -0.336 0.790 7.054
Tc 3.131 2.369 1.026
N -1.715 0.790 5.453
N -1.420 2.369 8.043
N 1.800 2.369 2.642
N 0.995 0.790 5.439
N 4.216 0.790 0.037
N 4.511 2.369 2.628
CELL_PARAMETERS angstrom
5.564 0.000 0.000
0.000 3.159 0.000
-2.769 0.000 8.080
```

***

(4)
## Pu3Mg3TcN8 (PBE)

Data for crystalline Pu3Mg3TcN8 at its relaxed geometry. Values from VASP.

Summary:
* final energy: -9.07 eV/atom

```
&SYSTEM
  ibrav = 0, nat = 15, ntyp = 4
/
ATOMIC_SPECIES
Pu 244.00 Pu.upf
Mg 24.30 Mg.upf
Tc 98.00 Tc.upf
N 14.01 N.upf
ATOMIC_POSITIONS angstrom
Pu -1.649 -0.952 5.156
Pu -1.649 0.952 10.312
Pu 0.000 1.904 5.156
Mg -3.298 0.000 7.734
Mg -1.649 0.952 2.578
Mg 1.649 0.952 2.578
Tc 0.000 0.000 0.000
N 0.000 -2.041 6.298
N -1.767 1.020 6.298
N -1.767 -1.020 9.170
N 0.000 0.000 3.846
N 0.000 0.000 11.622
N 1.767 1.020 6.298
N 1.767 -1.020 9.170
N 0.000 2.041 9.170
CELL_PARAMETERS angstrom
3.298 1.904 5.156
-3.298 1.904 5.156
0.000 -3.808 5.156
```

***

(5)
## PuMgTc2N4 (PBE)

Data for crystalline PuMgTc2N4 at its relaxed geometry. Values from VASP.

Summary:
* final energy: -9.17 eV/atom

```
&SYSTEM
  ibrav = 0, nat = 8, ntyp = 4
/
ATOMIC_SPECIES
Pu 244.00 Pu.upf
Mg 24.30 Mg.upf
Tc 98.00 Tc.upf
N 14.01 N.upf
ATOMIC_POSITIONS angstrom
Pu 0.000 0.000 0.000
Mg 3.122 3.132 4.432
Tc 1.561 1.566 2.216
Tc 4.683 4.698 6.648
N 1.561 1.566 0.000
N 3.122 3.132 2.258
N 1.561 1.566 4.432
N 3.122 3.132 6.606
CELL_PARAMETERS angstrom
0.000 3.132 4.432
3.122 0.000 4.432
3.122 3.132 0.000
```

***

(6)
## PuMg2Tc3N6 (PBE)

Data for crystalline PuMg2Tc3N6 at its relaxed geometry. Values from VASP.

Summary:
* final energy: -8.69 eV/atom

```
&SYSTEM
  ibrav = 0, nat = 12, ntyp = 4
/
ATOMIC_SPECIES
Pu 244.00 Pu.upf
Mg 24.30 Mg.upf
Tc 98.00 Tc.upf
N 14.01 N.upf
ATOMIC_POSITIONS angstrom
Pu 0.000 0.000 0.000
Mg 2.627 1.597 0.000
Mg 2.627 -1.597 0.000
Tc 1.731 3.309 2.578
Tc 1.731 0.000 2.578
Tc 1.731 -3.309 2.578
N 0.895 1.641 1.402
N 0.081 0.000 3.910
N 0.895 -1.641 1.402
N 2.568 1.641 3.754
N 3.381 0.000 1.245
N 2.568 -1.641 3.754
CELL_PARAMETERS angstrom
2.627 -4.651 0.000
2.627 4.651 0.000
-1.792 0.000 5.156
```

***

ΔE_f (raw) in eV/atom, matching the order above: -0.49 -0.61 -0.68 -0.75 -0.43 -0.48